[1]
The following is a PBE-GGA calculation of crystalline VGe2W at its relaxed geometry, from Alexandria.

Cell lengths 6.887, 6.887, 5.537 Å; angles 90.00, 90.00, 90.00 degrees
Fractional positions:
V 0.000 0.000 0.000
V 0.000 0.500 0.250
V 0.500 0.000 0.750
V 0.500 0.500 0.500
Ge 0.244 0.250 0.125
Ge 0.250 0.744 0.375
Ge 0.250 0.756 0.875
Ge 0.256 0.250 0.625
Ge 0.744 0.750 0.625
Ge 0.750 0.244 0.875
Ge 0.750 0.256 0.375
Ge 0.756 0.750 0.125
W 0.000 0.000 0.500
W 0.000 0.500 0.750
W 0.500 0.000 0.250
W 0.500 0.500 0.000

Properties
- Calculated formation energy: 0.56 eV/atom
- Electronic total energy: -7.2678 eV per atom


[2]
The following is a PBE-GGA calculation of crystalline Sc2CrCu at its relaxed geometry, from Alexandria.

Cell lengths 3.122, 3.122, 27.287 Å; angles 90.00, 90.00, 120.00 degrees
Fractional positions:
Sc 0.000 0.000 0.000
Sc 0.000 0.000 0.233
Sc 0.333 0.667 0.667
Sc 0.333 0.667 0.900
Sc 0.667 0.333 0.333
Sc 0.667 0.333 0.566
Cr 0.000 0.000 0.482
Cr 0.333 0.667 0.149
Cr 0.667 0.333 0.816
Cu 0.000 0.000 0.744
Cu 0.333 0.667 0.411
Cu 0.667 0.333 0.078

Properties
- Calculated formation energy: 0.37 eV/atom
- Electronic total energy: -6.2223 eV per atom


[3]
The following is a PBE-GGA calculation of crystalline TcSe2I at its relaxed geometry, from Alexandria.

Cell lengths 3.204, 3.545, 10.463 Å; angles 89.84, 81.56, 63.24 degrees
Fractional positions:
Tc 0.000 0.000 0.000
Se 0.234 0.388 0.151
Se 0.414 0.318 0.849
I 0.331 0.848 0.496

Properties
- ΔE_f (raw): -200 meV per atom
- Electronic total energy: -4.9208 eV per atom


[4]
The following is a PBE-GGA calculation of crystalline LiMg16Al12 at its relaxed geometry, from Alexandria.

Cell lengths 9.098, 9.098, 9.098 Å; angles 109.44, 109.44, 109.44 degrees
Fractional positions:
Li 0.000 0.000 0.000
Mg 0.013 0.013 0.614
Mg 0.013 0.614 0.013
Mg 0.041 0.732 0.732
Mg 0.327 0.327 0.327
Mg 0.328 0.644 0.928
Mg 0.328 0.928 0.644
Mg 0.329 0.329 0.674
Mg 0.329 0.674 0.329
Mg 0.614 0.013 0.013
Mg 0.644 0.328 0.928
Mg 0.644 0.928 0.328
Mg 0.674 0.329 0.329
Mg 0.732 0.041 0.732
Mg 0.732 0.732 0.041
Mg 0.928 0.328 0.644
Mg 0.928 0.644 0.328
Al 0.144 0.329 0.963
Al 0.144 0.963 0.329
Al 0.145 0.515 0.515
Al 0.329 0.144 0.963
Al 0.329 0.963 0.144
Al 0.507 0.692 0.692
Al 0.515 0.145 0.515
Al 0.515 0.515 0.145
Al 0.692 0.507 0.692
Al 0.692 0.692 0.507
Al 0.963 0.144 0.329
Al 0.963 0.329 0.144

Properties
- Calculated formation energy: -0.04 eV/atom
- Electronic total energy: -2.5324 eV per atom


[5]
The following is a PBE-GGA calculation of crystalline CoRuCl3 at its relaxed geometry, from Alexandria.

Cell lengths 8.659, 8.659, 8.659 Å; angles 140.99, 140.99, 56.35 degrees
Fractional positions:
Co 0.069 0.069 0.000
Co 0.931 0.931 0.000
Ru 0.500 0.500 0.000
Ru 0.750 0.250 0.500
Cl 0.060 0.560 0.500
Cl 0.120 0.363 0.757
Cl 0.440 0.940 0.500
Cl 0.607 0.363 0.243
Cl 0.637 0.393 0.757
Cl 0.637 0.880 0.243

Properties
- ΔE_f (raw): 592 meV per atom
- Electronic total energy: -3.7927 eV per atom


[6]
The following is a PBE-GGA calculation of crystalline Sc3ZnC at its relaxed geometry, from Alexandria.

Cell lengths 8.111, 5.783, 8.437 Å; angles 90.00, 114.58, 90.00 degrees
Fractional positions:
Sc 0.075 0.071 0.361
Sc 0.075 0.429 0.861
Sc 0.195 0.580 0.552
Sc 0.195 0.920 0.052
Sc 0.359 0.109 0.760
Sc 0.359 0.391 0.260
Sc 0.641 0.609 0.740
Sc 0.641 0.891 0.240
Sc 0.805 0.080 0.948
Sc 0.805 0.420 0.448
Sc 0.925 0.571 0.139
Sc 0.925 0.929 0.639
Zn 0.415 0.669 0.921
Zn 0.415 0.831 0.421
Zn 0.585 0.169 0.579
Zn 0.585 0.331 0.079
C 0.080 0.250 0.113
C 0.080 0.250 0.613
C 0.920 0.750 0.387
C 0.920 0.750 0.887

Properties
- Calculated formation energy: -0.38 eV/atom
- Electronic total energy: -6.2779 eV per atom